A plane-wave DFT calculation with GGA-PBE was carried out for a geometry-optimized LaCd2Pb structure. Values from VASP.

Properties
The value obtained for the calculated volume is 28.49 A^3/atom. As for the space group: P4/mmm. The value obtained for the density of states at the Fermi level is 0.492 states/eV per atom. As for the energy of formation from the pure elements: -219.7 meV per atom.

```
&SYSTEM
  ibrav = 0, nat = 4, ntyp = 3
/
ATOMIC_SPECIES
Cd 112.41 Cd.upf
Pb 207.20 Pb.upf
La 138.91 La.upf
CELL_PARAMETERS angstrom
3.829 0.003 0.000
-0.002 3.829 0.000
0.000 0.000 7.773
ATOMIC_POSITIONS angstrom
Cd 0.000 0.000 7.649
Pb 1.913 1.916 5.830
La 1.913 1.916 1.943
Cd 0.000 0.000 4.010
```

=====

A plane-wave DFT calculation with GGA-PBE was carried out for a geometry-optimized BeHg2Ir structure. Values from VASP.

Properties
The value obtained for the calculated volume is 17.50 A^3/atom. As for the space group: Pm. The value obtained for the density of states at the Fermi level is 0.400 states/eV per atom. As for the energy of formation from the pure elements: 38.3 meV per atom.

```
&SYSTEM
  ibrav = 0, nat = 4, ntyp = 3
/
ATOMIC_SPECIES
Hg 200.59 Hg.upf
Be 9.01 Be.upf
Ir 192.22 Ir.upf
CELL_PARAMETERS angstrom
3.020 0.000 0.000
0.000 3.042 0.006
0.000 4.336 7.628
ATOMIC_POSITIONS angstrom
Hg 0.000 6.811 7.270
Hg 1.510 2.354 2.277
Be 1.510 5.399 5.175
Ir 0.000 3.881 4.363
```